[1]
PrMnAl11 | PBE | relaxed

Results
Fermi-level density of states (states/eV/f.u.): 6.09
Energy of formation (eV/atom): -0.187
V (Å³ per atom): 17.10

Unit cell a=5.218 b=12.634 c=7.184 alpha=90.00 beta=110.16 gamma=90.00
Space group C2/m (No. 12)
Inequivalent atoms, fractional coordinates:
Pr1 0.000 0.000 0.000 (multiplicity 2)
Mn1 0.000 0.500 0.500 (multiplicity 2)
Al1 0.000 0.000 0.500 (multiplicity 2)
Al2 0.109 0.392 0.232 (multiplicity 8)
Al3 0.199 0.172 0.364 (multiplicity 8)
Al4 0.250 0.250 0.000 (multiplicity 4)

[2]
PrMnAl3 | PBE | relaxed

Results
Fermi-level density of states (states/eV/f.u.): 1.51
Energy of formation (eV/atom): -0.310
V (Å³ per atom): 19.57

Unit cell a=4.608 b=4.608 c=4.608 alpha=90.00 beta=90.00 gamma=90.00
Space group Pm-3m (No. 221)
Inequivalent atoms, fractional coordinates:
Pr1 0.000 0.000 0.000 (multiplicity 1)
Mn1 0.500 0.500 0.500 (multiplicity 1)
Al1 0.000 0.500 0.500 (multiplicity 3)

[3]
PrMnAlSi2 | PBE | relaxed

Results
Fermi-level density of states (states/eV/f.u.): 2.69
Energy relative to the elements, uncorrected (meV/atom): -513.7
V (Å³ per atom): 17.61

Unit cell a=4.026 b=4.026 c=10.865 alpha=90.00 beta=90.00 gamma=90.00
Space group I-4m2 (No. 119)
Inequivalent atoms, fractional coordinates:
Pr1 0.000 0.000 0.000 (multiplicity 2)
Mn1 0.000 0.500 0.750 (multiplicity 2)
Al1 0.000 0.500 0.250 (multiplicity 2)
Si1 0.000 0.000 0.386 (multiplicity 4)

[4]
PrSmMnAl | PBE | relaxed

Results
Fermi-level density of states (states/eV/f.u.): 4.89
Energy of formation (eV/atom): -0.001
V (Å³ per atom): 25.45

Unit cell a=7.412 b=7.412 c=7.412 alpha=90.00 beta=90.00 gamma=90.00
Space group F-43m (No. 216)
Inequivalent atoms, fractional coordinates:
Pr1 0.000 0.000 0.000 (multiplicity 4)
Sm1 0.000 0.000 0.500 (multiplicity 4)
Mn1 0.250 0.250 0.750 (multiplicity 4)
Al1 0.250 0.250 0.250 (multiplicity 4)

Question: Look up the V of the third one.
Answer: 17.61 Å³ per atom

Question: Look up the Fermi-level density of states of the second one.
Answer: 1.51 states/eV/f.u.

Question: The highest Fermi-level density of states belongs to which entry?
Answer: PrMnAl11